Here is La5Mg after structural relaxation from Alexandria. Energies are from PBE-GGA.

## Properties
- Energy of formation from the pure elements: 0.22 eV/atom
- Crystal system: cubic
- Electronic total energy: -0.30513 Ry per atom
- Excess energy over the best structure of this formula in the dataset: 0.2523 eV per atom

Cell: 9.544 9.544 9.544 Å, 90.00 90.00 90.00°
Space group F-43m (No. 216)
Symmetry-distinct sites (fractional):
La: 0.000 0.000 0.000 [4 per cell]
La: 0.124 0.124 0.624 [16 per cell]
Mg: 0.250 0.250 0.250 [4 per cell]

Here is La6NiN2Cl3 after structural relaxation from Alexandria. Energies are from PBE-GGA.

## Properties
- Energy relative to the elements, uncorrected: -16.48 eV per formula unit
- Crystal system: monoclinic
- Electronic total energy: -0.45333 Ry per atom

Cell: 18.768 3.793 8.563 Å, 90.00 110.64 90.00°
Space group C2/m (No. 12)
Symmetry-distinct sites (fractional):
La: 0.020 0.000 0.235 [4 per cell]
La: 0.169 0.500 0.138 [4 per cell]
La: 0.181 0.500 0.551 [4 per cell]
Ni: 0.000 0.500 0.000 [2 per cell]
N: 0.174 0.000 0.337 [4 per cell]
Cl: 0.000 0.500 0.500 [2 per cell]
Cl: 0.160 0.000 0.828 [4 per cell]

Here is AlCr2Cl after structural relaxation from Alexandria. Energies are from PBE-GGA.

## Properties
- Energy relative to the elements, uncorrected: 0.76 eV per formula unit
- Crystal system: trigonal
- Electronic total energy: -0.44231 Ry per atom
- Excess energy over the best structure of this formula in the dataset: 0.1733 eV per atom

Cell: 3.0682 3.0682 23.6425 Å, 90.00 90.00 120.00°
Space group R-3m (No. 166, hexagonal axes)
Symmetry-distinct sites (fractional):
Al: 0.0000 0.0000 0.0000 [3 per cell]
Cr: 0.0000 0.0000 0.2493 [6 per cell]
Cl: 0.0000 0.0000 0.5000 [3 per cell]